# TbSc4 (GGA-PBE, relaxed)
# Volume: 129.1 Å³ per cell
# Crystal system: tetragonal
# Excess energy over the best structure of this formula in the dataset: 0.0000 eV per atom
# E: -5.936 eV per atom
# Symmetry: I4/m, No. 87
# Calculated formation energy: 0.055 eV/atom
data_TbSc4
_chemical_formula_sum 'Tb1 Sc4'
_cell_length_a 4.7140
_cell_length_b 5.7397
_cell_length_c 5.7411
_cell_angle_alpha 80.29
_cell_angle_beta 65.76
_cell_angle_gamma 65.75
_symmetry_space_group_name_H-M 'P 1'
_symmetry_Int_Tables_number 1
loop_
_symmetry_equiv_pos_as_xyz
'x,y,z'
loop_
_atom_site_label
_atom_site_type_symbol
_atom_site_fract_x
_atom_site_fract_y
_atom_site_fract_z
Sc1 Sc 0.5978 0.6005 0.2040
Sc2 Sc 0.1983 0.2040 0.3995
Sc3 Sc 0.4022 0.3995 0.7960
Sc4 Sc 0.8017 0.7960 0.6005
Tb1 Tb 0.0000 0.0000 0.0000